# 1
# KCd2Hg

An optimized crystal structure of KCd2Hg (PBEsol, Alexandria).

Output
total DFT energy (no corrections) = -1.07 eV/atom
symmetry = P4mm, No. 99

Lattice parameters (Å, degrees): 3.6723 3.6723 8.0576 90.00 90.00 90.00
Element x y z (fractional)
K 0.0000 0.0000 0.0000
Cd 0.0000 0.0000 0.5053
Cd 0.5000 0.5000 0.3121
Hg 0.5000 0.5000 0.7136

=====

# 2
# YTaAl

An optimized crystal structure of YTaAl (PBEsol, Alexandria).

Output
total DFT energy (no corrections) = -6.91 eV/atom
symmetry = F-43m, No. 216
polymorph energy (0 for the lowest one) = 0.9076 eV/atom

Lattice parameters (Å, degrees): 4.6854 4.6854 4.6854 60.00 60.00 60.00
Element x y z (fractional)
Y 0.0000 0.0000 0.0000
Ta 0.2500 0.2500 0.2500
Al 0.5000 0.5000 0.5000